*P*
Material: BaTcMo
Method: DFT, PBE
State: optimized geometry

## Properties
Calculated volume (A^3/atom): 25.13

Structure (POSCAR):
```
BaTcMo
1.0
4.742 0.000 0.000
2.371 4.107 0.000
2.371 1.369 3.872
Ba Tc Mo
1 1 1
Direct
0.750 0.750 0.750
0.500 0.500 0.500
0.000 0.000 0.000
```

*Q*
Material: BaTcMo
Method: DFT, PBE
State: optimized geometry

## Properties
Calculated volume (A^3/atom): 27.75

Structure (POSCAR):
```
BaTcMo
1.0
-1.551 0.109 -3.835
-1.074 -3.051 2.580
-4.325 3.076 1.836
Mo Tc Ba
1 1 1
Direct
0.667 0.333 0.515
0.333 0.667 0.484
0.000 0.000 0.001
```

*R*
Material: BaTcMo
Method: DFT, PBE
State: optimized geometry

## Properties
Calculated volume (A^3/atom): 24.74

Structure (POSCAR):
```
BaTcMo
1.0
6.767 0.078 -0.011
4.980 4.583 0.011
-5.868 -2.344 2.423
Ba Tc Mo
1 1 1
Direct
0.001 0.001 0.000
0.721 0.721 0.000
0.278 0.278 0.000
```

Taking the most stable structure as the zero point, the relative energies in kJ/mol of atoms are *P* 174.9; *Q* 4.6; *R* 0.0.

*P*
Material: BaTe2Mo
Method: DFT, PBE
State: optimized geometry

## Properties
Calculated volume (A^3/atom): 40.09

Structure (POSCAR):
```
BaTe2Mo
1.0
-0.688 3.841 5.471
-6.656 -0.906 -0.200
-3.014 -4.279 6.753
Te Mo Ba
4 2 2
Direct
0.520 0.125 0.250
0.230 0.625 0.250
0.375 0.480 0.750
0.875 0.770 0.750
0.250 0.750 0.500
0.500 0.500 0.000
0.750 0.250 0.500
0.000 0.000 0.000
```

*Q*
Material: BaTe2Mo
Method: DFT, PBE
State: optimized geometry

## Properties
Calculated volume (A^3/atom): 25.94

Structure (POSCAR):
```
BaTe2Mo
1.0
-1.030 -1.445 3.047
0.923 -3.185 -1.198
7.678 1.059 3.098
Te Mo Ba
2 1 1
Direct
0.000 0.000 0.557
0.000 0.000 0.943
0.500 0.500 0.750
0.500 0.500 0.250
```

Taking the most stable structure as the zero point, the relative energies in kJ/mol of atoms are *P* 0.0; *Q* 2.7.

*P*
Material: BaTe2Mo
Method: DFT, PBE
State: optimized geometry

## Properties
Calculated volume (A^3/atom): 26.59

Structure (POSCAR):
```
BaTe2Mo
1.0
-4.888 -1.464 1.498
-2.977 3.285 2.938
-4.257 2.363 -2.141
Te Ba Mo
2 1 1
Direct
0.250 0.250 0.250
0.750 0.750 0.750
0.500 0.500 0.500
0.000 0.000 0.000
```

*Q*
Material: BaTe2Mo
Method: DFT, PBE
State: optimized geometry

## Properties
Calculated volume (A^3/atom): 30.04

Structure (POSCAR):
```
BaTe2Mo
1.0
-0.148 -1.807 -7.936
-3.635 -5.187 -5.115
-0.059 5.458 6.040
Mo Te Ba
1 2 1
Direct
0.205 0.705 0.500
0.770 0.270 0.500
0.076 0.076 0.000
0.450 0.450 0.000
```

Taking the most stable structure as the zero point, the relative energies in kJ/mol of atoms are *P* 22.9; *Q* 0.0.

*P*
Material: BaTeMo
Method: DFT, PBE
State: optimized geometry

## Properties
Calculated volume (A^3/atom): 31.44

Structure (POSCAR):
```
BaTeMo
1.0
-3.408 -1.250 2.915
2.707 -3.250 -1.946
3.187 0.337 3.870
Te Ba Mo
1 1 1
Direct
0.667 0.333 0.500
0.000 0.000 0.000
0.333 0.667 0.500
```

*Q*
Material: BaTeMo
Method: DFT, PBE
State: optimized geometry

## Properties
Calculated volume (A^3/atom): 43.50

Structure (POSCAR):
```
BaTeMo
1.0
5.693 0.000 0.000
2.847 4.931 0.000
2.847 1.644 4.649
Mo Ba Te
1 1 1
Direct
0.000 0.000 0.000
0.250 0.250 0.250
0.500 0.500 0.500
```

*R*
Material: BaTeMo
Method: DFT, PBE
State: optimized geometry

## Properties
Calculated volume (A^3/atom): 32.43

Structure (POSCAR):
```
BaTeMo
1.0
4.336 0.000 0.000
0.000 4.336 0.000
0.000 0.000 10.347
Mo Ba Te
2 2 2
Direct
0.500 0.500 0.500
0.000 0.000 0.500
0.500 0.000 0.187
0.000 0.500 0.813
0.500 0.000 0.659
0.000 0.500 0.341
```

Taking the most stable structure as the zero point, the relative energies in kJ/mol of atoms are *P* 36.3; *Q* 103.4; *R* 0.0.

*P*
Material: BaTeMo3
Method: DFT, PBE
State: optimized geometry

## Properties
Calculated volume (A^3/atom): 26.17

Structure (POSCAR):
```
BaTeMo3
1.0
-3.218 -0.014 3.927
-0.890 -4.942 -0.747
3.825 -1.162 3.130
Mo Ba Te
3 1 1
Direct
0.500 0.000 0.000
0.000 0.000 0.500
0.000 0.500 0.000
0.500 0.500 0.500
0.000 0.000 0.000
```

*Q*
Material: BaTeMo3
Method: DFT, PBE
State: optimized geometry

## Properties
Calculated volume (A^3/atom): 25.87

Structure (POSCAR):
```
BaTeMo3
1.0
-3.608 3.533 0.269
-3.536 -3.566 -0.592
-0.223 -0.610 5.015
Mo Te Ba
3 1 1
Direct
0.000 0.000 0.500
0.000 0.500 0.000
0.500 0.000 0.000
0.500 0.500 0.500
0.000 0.000 0.000
```

Taking the most stable structure as the zero point, the relative energies in kJ/mol of atoms are *P* 0.0; *Q* 136.7.

*P*
Material: BaTe3Mo
Method: DFT, PBE
State: optimized geometry

## Properties
Calculated volume (A^3/atom): 32.99

Structure (POSCAR):
```
BaTe3Mo
1.0
5.484 0.000 0.000
0.000 5.484 0.000
0.000 0.000 5.484
Te Mo Ba
3 1 1
Direct
0.000 0.500 0.000
0.000 0.000 0.500
0.500 0.000 0.000
0.000 0.000 0.000
0.500 0.500 0.500
```

*Q*
Material: BaTe3Mo
Method: DFT, PBE
State: optimized geometry

## Properties
Calculated volume (A^3/atom): 54.44

Structure (POSCAR):
```
BaTe3Mo
1.0
6.481 0.000 0.000
0.000 6.481 0.000
0.000 0.000 6.481
Te Ba Mo
3 1 1
Direct
0.000 0.500 0.000
0.000 0.000 0.500
0.500 0.000 0.000
0.000 0.000 0.000
0.500 0.500 0.500
```

Taking the most stable structure as the zero point, the relative energies in kJ/mol of atoms are *P* 0.0; *Q* 145.4.

*P*
Material: BaTiMo2
Method: DFT, PBE
State: optimized geometry

## Properties
Calculated volume (A^3/atom): 27.96

Structure (POSCAR):
```
BaTiMo2
1.0
4.997 0.000 0.000
0.000 4.997 0.000
2.499 2.499 8.955
Mo Ti Ba
4 2 2
Direct
0.376 0.625 0.250
0.875 0.624 0.750
0.375 0.626 0.750
0.374 0.125 0.250
0.250 0.750 0.500
0.500 0.500 0.000
0.000 0.000 0.000
0.750 0.250 0.500
```

*Q*
Material: BaTiMo2
Method: DFT, PBE
State: optimized geometry

## Properties
Calculated volume (A^3/atom): 19.81

Structure (POSCAR):
```
BaTiMo2
1.0
2.895 -1.301 3.629
3.110 3.179 1.860
-0.727 1.780 4.421
Mo Ti Ba
2 1 1
Direct
0.750 0.750 0.750
0.250 0.250 0.250
0.000 0.000 0.000
0.500 0.500 0.500
```

Taking the most stable structure as the zero point, the relative energies in kJ/mol of atoms are *P* 5.3; *Q* 0.0.

*P*
Material: BaTlMo2
Method: DFT, PBE
State: optimized geometry

## Properties
Calculated volume (A^3/atom): 24.01

Structure (POSCAR):
```
BaTlMo2
1.0
5.143 0.000 0.000
0.015 5.143 0.000
-2.579 -2.571 3.632
Mo Tl Ba
2 1 1
Direct
0.250 0.750 0.500
0.000 0.000 0.000
0.500 0.500 0.000
0.750 0.250 0.500
```

*Q*
Material: BaTlMo2
Method: DFT, PBE
State: optimized geometry

## Properties
Calculated volume (A^3/atom): 24.89

Structure (POSCAR):
```
BaTlMo2
1.0
-2.339 -9.925 0.601
0.643 -10.147 -0.988
0.537 -9.917 2.389
Ba Tl Mo
1 1 2
Direct
0.744 0.744 0.744
0.513 0.513 0.513
0.981 0.981 0.981
0.262 0.262 0.262
```

Taking the most stable structure as the zero point, the relative energies in kJ/mol of atoms are *P* 46.8; *Q* 0.0.

*P*
Material: BaTl2Mo
Method: DFT, PBE
State: optimized geometry

## Properties
Calculated volume (A^3/atom): 30.24

Structure (POSCAR):
```
BaTl2Mo
1.0
-1.965 2.705 -1.927
0.753 -1.818 -3.320
-6.809 -4.349 0.838
Ba Tl Mo
1 2 1
Direct
0.000 0.000 0.525
0.500 0.500 0.194
0.000 0.000 0.935
0.500 0.500 0.846
```

*Q*
Material: BaTl2Mo
Method: DFT, PBE
State: optimized geometry

## Properties
Calculated volume (A^3/atom): 26.26

Structure (POSCAR):
```
BaTl2Mo
1.0
-6.362 -8.221 3.300
-3.616 -9.984 2.492
-3.870 -8.567 5.530
Tl Mo Ba
2 1 1
Direct
0.012 0.012 0.012
0.488 0.488 0.488
0.750 0.750 0.750
0.250 0.250 0.250
```

Taking the most stable structure as the zero point, the relative energies in kJ/mol of atoms are *P* 0.0; *Q* 6.5.

*P*
Material: BaTl2Mo
Method: DFT, PBE
State: optimized geometry

## Properties
Calculated volume (A^3/atom): 31.84

Structure (POSCAR):
```
BaTl2Mo
1.0
-1.424 -1.694 4.322
-3.482 -3.375 0.252
2.681 -6.175 1.195
Ba Tl Mo
1 2 1
Direct
0.750 0.750 0.750
0.963 0.963 0.111
0.537 0.537 0.389
0.250 0.250 0.250
```

*Q*
Material: BaTl2Mo
Method: DFT, PBE
State: optimized geometry

## Properties
Calculated volume (A^3/atom): 37.37

Structure (POSCAR):
```
BaTl2Mo
1.0
5.622 0.000 0.000
0.000 5.622 0.000
2.811 2.811 9.457
Mo Ba Tl
2 2 4
Direct
0.500 0.500 0.000
0.250 0.750 0.500
0.000 0.000 0.000
0.750 0.250 0.500
0.375 0.521 0.750
0.875 0.729 0.750
0.479 0.125 0.250
0.271 0.625 0.250
```

*R*
Material: BaTl2Mo
Method: DFT, PBE
State: optimized geometry

## Properties
Calculated volume (A^3/atom): 30.27

Structure (POSCAR):
```
BaTl2Mo
1.0
-1.635 -4.600 0.339
4.062 -1.607 -2.209
2.259 -0.472 4.497
Ba Mo Tl
1 1 2
Direct
0.500 0.000 0.500
0.000 0.500 0.500
0.000 0.000 0.000
0.500 0.500 0.000
```

*S*
Material: BaTl2Mo
Method: DFT, PBE
State: optimized geometry

## Properties
Calculated volume (A^3/atom): 27.62

Structure (POSCAR):
```
BaTl2Mo
1.0
3.335 0.011 0.000
-0.779 3.243 0.000
0.000 0.000 10.207
Ba Tl Mo
1 2 1
Direct
0.000 0.000 0.529
0.500 0.500 0.220
0.000 0.000 0.973
0.500 0.500 0.778
```

Taking the most stable structure as the zero point, the relative energies in kJ/mol of atoms are *P* 0.0; *Q* 23.1; *R* 22.4; *S* 25.0.

*P*
Material: BaTl2Mo
Method: DFT, PBE
State: optimized geometry

## Properties
Calculated volume (A^3/atom): 28.82

Structure (POSCAR):
```
BaTl2Mo
1.0
5.861 -0.044 -0.175
-1.825 5.569 -0.175
0.105 0.144 3.532
Tl Ba Mo
2 1 1
Direct
0.000 0.000 0.000
0.500 0.500 0.000
0.500 0.000 0.500
0.000 0.500 0.500
```

*Q*
Material: BaTl2Mo
Method: DFT, PBE
State: optimized geometry

## Properties
Calculated volume (A^3/atom): 30.32

Structure (POSCAR):
```
BaTl2Mo
1.0
-1.218 -3.487 -0.768
0.027 -0.944 4.243
-6.999 2.321 0.562
Mo Ba Tl
1 1 2
Direct
0.500 0.625 0.939
0.000 0.625 0.488
0.500 0.125 0.206
0.000 0.125 0.866
```

*R*
Material: BaTl2Mo
Method: DFT, PBE
State: optimized geometry

## Properties
Calculated volume (A^3/atom): 29.64

Structure (POSCAR):
```
BaTl2Mo
1.0
8.082 0.007 0.005
5.978 5.439 -0.005
-6.637 -3.737 2.702
Mo Tl Ba
1 2 1
Direct
0.237 0.737 0.500
0.079 0.079 0.000
0.748 0.248 0.500
0.436 0.436 0.000
```

*S*
Material: BaTl2Mo
Method: DFT, PBE
State: optimized geometry

## Properties
Calculated volume (A^3/atom): 28.43

Structure (POSCAR):
```
BaTl2Mo
1.0
-1.947 10.198 3.037
-1.908 8.659 6.197
1.105 9.679 4.702
Tl Mo Ba
2 1 1
Direct
0.009 0.009 0.009
0.258 0.258 0.258
0.743 0.743 0.743
0.489 0.489 0.489
```

Taking the most stable structure as the zero point, the relative energies in kJ/mol of atoms are *P* 26.3; *Q* 4.0; *R* 0.0; *S* 29.1.